No. 1
An optimized crystal structure of SrZnRe2, computed with PBE.

The calculation puts the formation enthalpy at 0 K at 322.0 meV per atom. For the density of states at the Fermi level, the calculation gives 2.44 states/eV/f.u.

It has space group P4mm (No. 99), with a = 3.1566 Å, b = 3.1566 Å, c = 7.8091 Å, α = 90.00°, β = 90.00° and γ = 90.00°. The inequivalent atoms are Sr at (0.0000, 0.0000, 0.0000), Zn at (0.5000, 0.5000, 0.3144), Re at (0.0000, 0.0000, 0.5203) and Re at (0.5000, 0.5000, 0.6890).

No. 2
An optimized crystal structure of Tm8Ru5Pt, computed with PBE.

The calculation puts the formation enthalpy at 0 K at -406.6 meV per atom. For the density of states at the Fermi level, the calculation gives 7.37 states/eV/f.u.

It has space group I-4 (No. 82), with a = 8.4367 Å, b = 8.4367 Å, c = 8.4305 Å, α = 90.00°, β = 90.00° and γ = 90.00°. The inequivalent atoms are Tm at (0.0644, 0.3160, 0.0514), Tm at (0.0721, 0.1782, 0.6831), Ru at (0.0000, 0.0000, 0.0000), Ru at (0.1242, 0.2493, 0.3652) and Pt at (0.0000, 0.5000, 0.7500).

No. 3
An optimized crystal structure of CoPb3, computed with PBE.

The calculation puts the formation enthalpy at 0 K at 582.9 meV per atom. For the density of states at the Fermi level, the calculation gives 4.68 states/eV/f.u.

It has space group Cmmm (No. 65), with a = 6.5934 Å, b = 8.2821 Å, c = 3.8072 Å, α = 90.00°, β = 90.00° and γ = 90.00°. The inequivalent atoms are Co at (0.0000, 0.0000, 0.0000), Pb at (0.0000, 0.5000, 0.0000) and Pb at (0.2500, 0.2500, 0.5000).

No. 4
An optimized crystal structure of Pr2MgSi2Rh5, computed with PBE.

For the formation energy (no corrections), the calculation gives -0.83 eV per atom. For the density of states at the Fermi level, the calculation gives 2.70 states/eV/f.u.

It has space group P4/mbm (No. 127), with a = 10.1275 Å, b = 10.1275 Å, c = 3.4622 Å, α = 90.00°, β = 90.00° and γ = 90.00°. The inequivalent atoms are Pr at (0.1764, 0.3236, 0.0000), Mg at (0.0000, 0.0000, 0.0000), Si at (0.1217, 0.6217, 0.0000), Rh at (0.0000, 0.5000, 0.5000) and Rh at (0.0685, 0.7794, 0.5000).

No. 5
An optimized crystal structure of KIr3O, computed with PBE.

For the formation energy (no corrections), the calculation gives 3.73 eV per atom. The polymorph energy (0 for the lowest one) comes out at 250.3 kJ per mole of atoms. For the density of states at the Fermi level, the calculation gives 7.51 states/eV/f.u.

It has space group Pm-3m (No. 221), with a = 4.8462 Å, b = 4.8462 Å, c = 4.8462 Å, α = 90.00°, β = 90.00° and γ = 90.00°. The inequivalent atoms are K at (0.0000, 0.0000, 0.0000), Ir at (0.0000, 0.0000, 0.5000) and O at (0.5000, 0.5000, 0.5000).

No. 6
An optimized crystal structure of LaPr6Cd, computed with PBE.

The calculation puts the formation enthalpy at 0 K at -39.4 meV per atom. The polymorph energy (0 for the lowest one) comes out at 0.0 kJ per mole of atoms. For the density of states at the Fermi level, the calculation gives 11.19 states/eV/f.u.

It has space group I4/mmm (No. 139), with a = 5.0884 Å, b = 5.0884 Å, c = 21.1041 Å, α = 90.00°, β = 90.00° and γ = 90.00°. The inequivalent atoms are La at (0.0000, 0.0000, 0.0000), Pr at (0.0000, 0.0000, 0.2485), Pr at (0.0000, 0.5000, 0.1224) and Cd at (0.0000, 0.0000, 0.5000).

No. 7
An optimized crystal structure of HoAgHg3, computed with PBE.

The calculation puts the formation enthalpy at 0 K at -180.8 meV per atom. The polymorph energy (0 for the lowest one) comes out at 5.1 kJ per mole of atoms. For the density of states at the Fermi level, the calculation gives 1.98 states/eV/f.u.

It has space group C2/m (No. 12), with a = 13.7041 Å, b = 5.2330 Å, c = 6.4865 Å, α = 90.00°, β = 91.98° and γ = 90.00°. The inequivalent atoms are Ho at (0.1121, 0.0000, 0.2229), Ag at (0.1943, 0.5000, 0.4950), Hg at (0.0030, 0.5000, 0.7398), Hg at (0.1154, 0.0000, 0.7076) and Hg at (0.1899, 0.5000, 0.0070).

No. 8
An optimized crystal structure of TlN2Cl3, computed with PBE.

For the formation energy (no corrections), the calculation gives 1.32 eV per atom.

It has space group C2/c (No. 15), with a = 16.9936 Å, b = 6.5413 Å, c = 7.2671 Å, α = 90.00°, β = 90.12° and γ = 90.00°. The inequivalent atoms are Tl at (0.0000, 0.1258, 0.2500), N at (0.2033, 0.4961, 0.7497), Cl at (0.0000, 0.4938, 0.2500) and Cl at (0.1020, 0.0001, 0.9997).

No. 9
An optimized crystal structure of Tb3PrTh4S8, computed with PBE.

For the formation energy (no corrections), the calculation gives -1.92 eV per atom. For the density of states at the Fermi level, the calculation gives 5.36 states/eV/f.u.

It has space group R-3m (No. 166, hexagonal axes), with a = 7.9068 Å, b = 7.9068 Å, c = 20.1546 Å, α = 90.00°, β = 90.00° and γ = 120.00°. The inequivalent atoms are Tb at (0.0000, 0.5000, 0.0000), Pr at (0.0000, 0.0000, 0.0000), Th at (0.0000, 0.0000, 0.5000), Th at (0.0000, 0.5000, 0.5000), S at (0.0000, 0.0000, 0.2545) and S at (0.0069, 0.5035, 0.2530).

No. 10
An optimized crystal structure of HfAlRu, computed with PBE.

The calculation puts the formation enthalpy at 0 K at -604.9 meV per atom. For the density of states at the Fermi level, the calculation gives 2.09 states/eV/f.u.

It has space group P4/nmm (No. 129, origin choice 2), with a = 3.2209 Å, b = 3.2209 Å, c = 9.4441 Å, α = 90.00°, β = 90.00° and γ = 90.00°. The inequivalent atoms are Hf at (0.2500, 0.2500, 0.1091), Al at (0.2500, 0.2500, 0.4204) and Ru at (0.2500, 0.2500, 0.7174).

No. 11
An optimized crystal structure of Tm6Tl2Pb, computed with PBE.

The calculation puts the formation enthalpy at 0 K at -178.2 meV per atom. For the density of states at the Fermi level, the calculation gives 7.32 states/eV/f.u.

It has space group P2_1/c (No. 14), with a = 6.0758 Å, b = 9.0242 Å, c = 10.8741 Å, α = 90.00°, β = 118.82° and γ = 90.00°. The inequivalent atoms are Tm at (0.0385, 0.1645, 0.4382), Tm at (0.3685, 0.6835, 0.4365), Tm at (0.4194, 0.0306, 0.3125), Tl at (0.1751, 0.1264, 0.7543) and Pb at (0.0000, 0.0000, 0.0000).

No. 12
An optimized crystal structure of Y2Tm5Th, computed with PBE.

The calculation puts the formation enthalpy at 0 K at 180.2 meV per atom. The polymorph energy (0 for the lowest one) comes out at 14.4 kJ per mole of atoms. For the density of states at the Fermi level, the calculation gives 12.67 states/eV/f.u.

It has space group C2/c (No. 15), with a = 6.5720 Å, b = 16.2926 Å, c = 9.4624 Å, α = 90.00°, β = 96.14° and γ = 90.00°. The inequivalent atoms are Y at (0.1737, 0.0543, 0.4172), Tm at (0.0000, 0.1654, 0.7500), Tm at (0.0455, 0.2540, 0.4109), Tm at (0.1699, 0.3783, 0.8949) and Th at (0.0000, 0.4369, 0.2500).

no.,E (eV per atom)
1,-6.64
2,-6.71
3,-3.97
4,-6.70
5,-2.79
6,-4.35
7,-1.85
8,-2.78
9,-7.00
10,-8.26
11,-4.10
12,-5.16